Record 1
VASP calculation (PBE) on a relaxed Ba2Ga4PdPt3 crystal.

Output
- space-group type = P-4m2, No. 115
- E (eV for the cell shown) = -47.18
- formation energy from the elements (eV per atom) = -0.791

Cell lengths 4.5586, 4.5586, 10.4034 Å; angles 90.00, 90.00, 90.00 degrees
Last column: nearest neighbours and their distance in Å.
Positions (direct):
Pt  0.5000  0.0000  0.8757  5 Ga 2.62-2.68
Pt  0.0000  0.5000  0.1243  5 Ga 2.62-2.68
Pt  0.0000  0.0000  0.5000  4 Ga 2.59
Ga  0.5000  0.0000  0.6185  2 Pd 2.59, 3 Pt 2.59-2.68
Ga  0.5000  0.5000  0.0000  4 Pt 2.62
Ga  0.0000  0.5000  0.3815  3 Pt 2.59-2.68, 2 Pd 2.59
Ga  0.0000  0.0000  0.0000  4 Pt 2.62
Ba  0.0000  0.5000  0.7461  2 Pd 3.43, 6 Pt 3.43-3.49, 9 Ga 3.49-3.79
Ba  0.5000  0.0000  0.2539  6 Pt 3.43-3.49, 2 Pd 3.43, 9 Ga 3.49-3.79
Pd  0.5000  0.5000  0.5000  4 Ga 2.59

***

Record 2
VASP calculation (PBE) on a relaxed Nd2SnGe crystal.

Output
- space-group type = R-3m, No. 166
- E (eV for the cell shown) = -20.67
- formation energy from the elements (eV per atom) = -0.628

Cell lengths 4.3205, 4.3205, 7.9366 Å; angles 74.21, 74.21, 60.00 degrees
Last column: nearest neighbours and their distance in Å.
Positions (direct):
Sn  0.0000  0.0000  0.0000  6 Nd 3.25
Ge  0.5000  0.5000  0.5000  6 Nd 3.01
Nd  0.2409  0.2409  0.2772  3 Ge 3.01, 3 Sn 3.25
Nd  0.7591  0.7591  0.7228  3 Ge 3.01, 3 Sn 3.25

***

Record 3
VASP calculation (PBE) on a relaxed Er8BeTe4Se3 crystal.

Output
- space-group type = R-3m, No. 166
- raw formation energy (eV/atom) = -1.29
- E (eV for the cell shown) = -83.95

Cell lengths 8.2855, 8.4724, 8.2856 Å; angles 119.27, 120.00, 90.00 degrees
Last column: nearest neighbours and their distance in Å.
Positions (direct):
Er  0.7402  0.7207  0.4805  3 Se 2.85, 3 Te 3.09
Er  0.2397  0.2876  0.0136  1 Be 2.68, 2 Se 2.89
Er  0.7739  0.2875  0.5478  1 Be 2.68, 2 Se 2.89
Er  0.2260  0.7124  0.9864  1 Be 2.68, 2 Se 2.89
Er  0.2598  0.2793  0.5195  3 Se 2.85, 3 Te 3.09
Er  0.7603  0.7124  0.9864  1 Be 2.68, 2 Se 2.89
Er  0.7740  0.2876  0.0136  1 Be 2.68, 2 Se 2.89
Er  0.2261  0.7125  0.4522  1 Be 2.68, 2 Se 2.89
Be  0.0000  0.5000  0.0000  6 Er 2.68
Se  0.0000  0.5000  0.5000  6 Er 2.85-2.89
Se  0.5000  0.5000  0.5000  6 Er 2.85-2.89
Se  0.5000  0.5000  0.0000  6 Er 2.85-2.89
Te  0.5000  0.0000  0.5000  6 Er 3.07-3.09
Te  0.5000  0.0000  0.0000  6 Er 3.25
Te  0.0000  0.0000  0.0000  6 Er 3.07-3.09
Te  0.0000  0.0000  0.5000  6 Er 3.07-3.09

***

Record 4
VASP calculation (PBE) on a relaxed Ti7NbSn2 crystal.

Output
- space-group type = Fm-3m, No. 225
- E (eV for the cell shown) = -66.39
- formation energy from the elements (eV per atom) = 0.695

Cell lengths 6.6717, 6.6717, 6.6717 Å; angles 60.00, 60.00, 60.00 degrees
Last column: nearest neighbours and their distance in Å.
Positions (direct):
Ti  0.2541  0.2541  0.7459  1 Ti 2.32, 1 Nb 2.40
Ti  0.7459  0.7459  0.2541  1 Ti 2.32, 1 Nb 2.40
Ti  0.7459  0.2541  0.2541  1 Ti 2.32, 1 Nb 2.40
Ti  0.2541  0.7459  0.2541  1 Ti 2.32, 1 Nb 2.40
Ti  0.2541  0.7459  0.7459  1 Ti 2.32, 1 Nb 2.40
Ti  0.5000  0.5000  0.5000  6 Ti 2.32
Ti  0.7459  0.2541  0.7459  1 Ti 2.32, 1 Nb 2.40
Nb  0.0000  0.0000  0.0000  6 Ti 2.40
Sn  0.2500  0.2500  0.2500  12 Ti 3.34
Sn  0.7500  0.7500  0.7500  12 Ti 3.34

***

Record 5
VASP calculation (PBE) on a relaxed Er6AlIn crystal.

Output
- space-group type = P4/mmm, No. 123
- E (eV for the cell shown) = -35.70
- formation energy from the elements (eV per atom) = -0.231

Cell lengths 4.7591, 4.7591, 9.5122 Å; angles 90.00, 90.00, 90.00 degrees
Last column: nearest neighbours and their distance in Å.
Positions (direct):
Er  0.5000  0.0000  0.2570  8 Er 3.32-3.41, 2 Al 3.32, 2 In 3.41
Er  0.5000  0.5000  0.0000  4 In 3.37, 8 Er 3.41
Er  0.5000  0.0000  0.7430  8 Er 3.32-3.41, 2 Al 3.32, 2 In 3.41
Er  0.5000  0.5000  0.5000  8 Er 3.32, 4 Al 3.37
Er  0.0000  0.5000  0.7430  8 Er 3.32-3.41, 2 Al 3.32, 2 In 3.41
Er  0.0000  0.5000  0.2570  8 Er 3.32-3.41, 2 Al 3.32, 2 In 3.41
In  0.0000  0.0000  0.0000  12 Er 3.37-3.41
Al  0.0000  0.0000  0.5000  12 Er 3.32-3.37

***

Record 6
VASP calculation (PBE) on a relaxed Nd4ZnPt crystal.

Output
- space-group type = I4_1md, No. 109
- E above lowest polymorph (meV/atom) = 264
- E (eV for the cell shown) = -55.54
- formation energy from the elements (eV per atom) = -0.231

Cell lengths 8.1592, 8.1592, 8.1592 Å; angles 107.29, 107.29, 113.93 degrees
Last column: nearest neighbours and their distance in Å.
Positions (direct):
Pt  0.4992  0.9992  0.5000  6 Nd 2.87-2.90
Pt  0.7492  0.7492  0.0000  6 Nd 2.87-2.90
Nd  0.2586  0.5603  0.3017  1 Pt 2.87, 2 Zn 2.92-2.98
Nd  0.3103  0.5086  0.8017  1 Pt 2.87, 2 Zn 2.92-2.98
Nd  0.7405  0.0405  0.3001  2 Pt 2.89-2.90, 1 Zn 3.03
Nd  0.7405  0.4404  0.6999  2 Pt 2.89-2.90, 1 Zn 3.03
Nd  0.7069  0.5086  0.1983  1 Pt 2.87, 2 Zn 2.92-2.98
Nd  0.1904  0.9905  0.1999  2 Pt 2.89-2.90, 1 Zn 3.03
Nd  0.7905  0.9905  0.8001  2 Pt 2.89-2.90, 1 Zn 3.03
Nd  0.2586  0.9569  0.6983  1 Pt 2.87, 2 Zn 2.92-2.98
Zn  0.2527  0.2527  0.0000  6 Nd 2.92-3.03
Zn  0.0027  0.5027  0.5000  6 Nd 2.92-3.03

***

Record 7
VASP calculation (PBE) on a relaxed Pm2CdSn4Ir3 crystal.

Output
- space-group type = P-4m2, No. 115
- E (eV for the cell shown) = -57.68
- formation energy from the elements (eV per atom) = -0.467

Cell lengths 4.4976, 4.4976, 11.2391 Å; angles 90.00, 90.00, 90.00 degrees
Last column: nearest neighbours and their distance in Å.
Positions (direct):
Sn  0.5000  0.0000  0.6434  3 Ir 2.57-2.77, 2 Cd 2.77
Sn  0.0000  0.5000  0.3566  3 Ir 2.57-2.77, 2 Cd 2.77
Sn  0.0000  0.0000  0.0000  4 Ir 2.67
Sn  0.5000  0.5000  0.0000  4 Ir 2.67
Ir  0.0000  0.5000  0.1275  5 Sn 2.57-2.67
Ir  0.5000  0.0000  0.8725  5 Sn 2.57-2.67
Ir  0.0000  0.0000  0.5000  4 Sn 2.77
Pm  0.0000  0.5000  0.7633  6 Ir 3.41-3.72, 8 Sn 3.45-3.48, 2 Cd 3.72
Pm  0.5000  0.0000  0.2367  6 Ir 3.41-3.72, 8 Sn 3.45-3.48, 2 Cd 3.72
Cd  0.5000  0.5000  0.5000  4 Sn 2.77

***

Record 8
VASP calculation (PBE) on a relaxed AcLaAgAu crystal.

Output
- space-group type = Amm2, No. 38
- E above lowest polymorph (meV/atom) = 0
- E (eV for the cell shown) = -17.30
- formation energy from the elements (eV per atom) = -0.534

Cell lengths 4.1363, 4.9464, 6.2105 Å; angles 90.00, 109.45, 90.00 degrees
Last column: nearest neighbours and their distance in Å.
Positions (direct):
Ac  0.1381  0.0000  0.2762  3 Ag 3.28-3.30, 4 Au 3.30
Ag  0.4183  0.0000  0.8365  2 Au 3.11, 3 Ac 3.28-3.30, 4 La 3.29
La  0.8640  0.5000  0.7279  3 Au 3.26-3.33, 4 Ag 3.29
Au  0.5797  0.5000  0.1593  2 Ag 3.11, 3 La 3.26-3.33, 4 Ac 3.30

***

Record 9
VASP calculation (PBE) on a relaxed Ac2CoBPt6 crystal.

Output
- space-group type = R-3m, No. 166
- E (eV for the cell shown) = -65.47
- formation energy from the elements (eV per atom) = -0.722

Cell lengths 5.8650, 7.2636, 7.2642 Å; angles 47.62, 66.19, 90.00 degrees
Last column: nearest neighbours and their distance in Å.
Positions (direct):
Pt  0.7371  0.7924  0.5258  1 B 2.14
Pt  0.2629  0.2076  0.4742  1 B 2.14
Pt  0.2075  0.2629  0.0554  1 B 2.14
Pt  0.7925  0.7371  0.9446  1 B 2.14
Pt  0.2629  0.7371  0.9445  1 B 2.14
Pt  0.7371  0.2629  0.0555  1 B 2.14
B  0.5000  0.5000  0.0000  6 Pt 2.14
Co  0.0000  0.0000  0.0000  6 Pt 2.59
Ac  0.7146  0.2854  0.5707  9 Pt 3.14-3.47, 3 Co 3.51
Ac  0.2854  0.7146  0.4293  9 Pt 3.14-3.47, 3 Co 3.51

***

Question: Which value of E does entry 1 give?
Answer: -47.18 eV for the cell shown

***

Copy entry 2 word for word.
VASP calculation (PBE) on a relaxed Nd2SnGe crystal.

Output
- space-group type = R-3m, No. 166
- E (eV for the cell shown) = -20.67
- formation energy from the elements (eV per atom) = -0.628

Cell lengths 4.3205, 4.3205, 7.9366 Å; angles 74.21, 74.21, 60.00 degrees
Last column: nearest neighbours and their distance in Å.
Positions (direct):
Sn  0.0000  0.0000  0.0000  6 Nd 3.25
Ge  0.5000  0.5000  0.5000  6 Nd 3.01
Nd  0.2409  0.2409  0.2772  3 Ge 3.01, 3 Sn 3.25
Nd  0.7591  0.7591  0.7228  3 Ge 3.01, 3 Sn 3.25

***

Question: Which of these has the highest E?
Answer: AcLaAgAu